No. 1
Computed, not measured: an optimized crystal structure of Ho3Si12Ru4 at the PBEsol level of DFT.

It has space group Cmce (No. 64), with a = 18.3488 Å, b = 8.0393 Å, c = 8.0446 Å, α = 90.00°, β = 90.00° and γ = 90.00°. The inequivalent atoms are Ho at (0.0000, 0.0000, 0.0000), Ho at (0.2500, 0.2470, 0.2500), Si at (0.0000, 0.1679, 0.3325), Si at (0.1171, 0.0051, 0.7295), Si at (0.1171, 0.2294, 0.5061), Si at (0.2052, 0.0000, 0.5000), Ru at (0.0000, 0.1264, 0.6267) and Ru at (0.1696, 0.0000, 0.0000).

The calculation puts the total magnetic moment at 0.00 μB per formula unit. The density of states at the Fermi level comes out at 0.2141 states/eV/atom. Its total energy is -7.2655 eV per atom. The formation energy without anion corrections is -713 meV/atom.

No. 2
Computed, not measured: an optimized crystal structure of CsYTc3 at the PBEsol level of DFT.

It has space group Pm-3m (No. 221), with a = 5.0399 Å, b = 5.0399 Å, c = 5.0399 Å, α = 90.00°, β = 90.00° and γ = 90.00°. The inequivalent atoms are Cs at (0.0000, 0.0000, 0.0000), Y at (0.5000, 0.5000, 0.5000) and Tc at (0.0000, 0.5000, 0.5000).

The calculation puts the total magnetic moment at 5.35 μB per formula unit. The density of states at the Fermi level comes out at 1.3742 states/eV/atom. Its total energy is -5.8360 eV per atom. As for the energy of formation: 2.477 eV per atom.

No. 3
Computed, not measured: an optimized crystal structure of Mg2GeB2Rh5 at the PBEsol level of DFT.

It has space group P4/mbm (No. 127), with a = 9.3068 Å, b = 9.3068 Å, c = 2.8948 Å, α = 90.00°, β = 90.00° and γ = 90.00°. The inequivalent atoms are Mg at (0.1746, 0.3254, 0.0000), Ge at (0.0000, 0.0000, 0.0000), B at (0.1247, 0.6247, 0.0000), Rh at (0.0000, 0.5000, 0.5000) and Rh at (0.0722, 0.7869, 0.5000).

The calculation puts the total magnetic moment at 0.00 μB per formula unit. The density of states at the Fermi level comes out at 0.1963 states/eV/atom. Its total energy is -6.9750 eV per atom. As for the energy of formation: -0.665 eV per atom.

No. 4
Computed, not measured: an optimized crystal structure of Na3ZrRe at the PBEsol level of DFT.

It has space group Pm-3m (No. 221), with a = 5.8283 Å, b = 5.8283 Å, c = 5.8283 Å, α = 90.00°, β = 90.00° and γ = 90.00°. The inequivalent atoms are Na at (0.0000, 0.0000, 0.5000), Zr at (0.0000, 0.0000, 0.0000) and Re at (0.5000, 0.5000, 0.5000).

The calculation puts the total magnetic moment at 8.29 μB per formula unit. The density of states at the Fermi level comes out at 2.4359 states/eV/atom. Its total energy is -2.6550 eV per atom. As for the energy of formation: 2.669 eV per atom.

No. 5
Computed, not measured: an optimized crystal structure of SrCrIr2 at the PBEsol level of DFT.

It has space group R-3m (No. 166, hexagonal axes), with a = 2.7797 Å, b = 2.7797 Å, c = 28.4325 Å, α = 90.00°, β = 90.00° and γ = 120.00°. The inequivalent atoms are Sr at (0.0000, 0.0000, 0.0000), Cr at (0.0000, 0.0000, 0.5000) and Ir at (0.0000, 0.0000, 0.2365).

The calculation puts the total magnetic moment at 0.03 μB per formula unit. The density of states at the Fermi level comes out at 1.1810 states/eV/atom. Its total energy is -7.4194 eV per atom. As for the energy of formation: 0.513 eV per atom.

No. 6
Computed, not measured: an optimized crystal structure of Zn2IrSe at the PBEsol level of DFT.

It has space group P4/mmm (No. 123), with a = 4.2116 Å, b = 4.2116 Å, c = 3.3707 Å, α = 90.00°, β = 90.00° and γ = 90.00°. The inequivalent atoms are Zn at (0.0000, 0.5000, 0.0000), Ir at (0.0000, 0.0000, 0.5000) and Se at (0.5000, 0.5000, 0.5000).

The calculation puts the total magnetic moment at 0.00 μB per formula unit. The density of states at the Fermi level comes out at 0.4465 states/eV/atom. Its total energy is -4.1237 eV per atom. The formation energy without anion corrections is 86 meV/atom.